Entry 1:
Compound: Ho2MgPd2
Source: the Alexandria database
Functional: GGA-PBEsol
Structure: relaxed

Lattice parameters (Å, degrees): 3.713 7.552 7.552 90.00 90.00 90.00
Atoms (fractional coordinates):
Mg 0.000 0.500 0.500
Pd 0.000 0.868 0.368
Ho 0.500 0.833 0.667
Ho 0.500 0.167 0.333
Pd 0.000 0.632 0.868
Pd 0.000 0.368 0.132
Ho 0.500 0.667 0.167
Mg 0.000 0.000 0.000
Pd 0.000 0.132 0.632
Ho 0.500 0.333 0.833

Summary:
Calculated formation energy ... -0.77 eV/atom

=====

Entry 2:
Compound: CuIO4
Source: the Alexandria database
Functional: GGA-PBEsol
Structure: relaxed

Lattice parameters (Å, degrees): 5.982 6.108 9.050 90.00 90.00 90.00
Atoms (fractional coordinates):
O 0.313 0.250 0.933
O 0.348 0.750 0.451
O 0.848 0.250 0.049
O 0.614 0.511 0.311
O 0.114 0.489 0.189
I 0.023 0.750 0.711
Cu 0.000 0.000 0.000
I 0.977 0.250 0.289
O 0.386 0.489 0.689
O 0.187 0.250 0.433
O 0.813 0.750 0.567
O 0.687 0.750 0.067
Cu 0.500 0.500 0.500
O 0.152 0.750 0.951
Cu 0.000 0.500 0.000
O 0.614 0.989 0.311
O 0.886 0.989 0.811
O 0.386 0.011 0.689
O 0.886 0.511 0.811
O 0.652 0.250 0.549
Cu 0.500 0.000 0.500
I 0.477 0.750 0.211
O 0.114 0.011 0.189
I 0.523 0.250 0.789

=====

Entry 3:
Compound: Ba2ZnCuSb2F14
Source: the Alexandria database
Functional: GGA-PBEsol
Structure: relaxed

Lattice parameters (Å, degrees): 5.184 7.596 16.120 89.87 90.00 109.95
Atoms (fractional coordinates):
F 0.370 0.511 0.399
Sb 0.842 0.774 0.623
F 0.280 0.158 0.514
F 0.659 0.650 0.217
Sb 0.068 0.226 0.877
Zn 0.550 0.000 0.250
F 0.400 0.064 0.105
F 0.779 0.217 0.761
F 0.720 0.842 0.486
Zn 0.450 0.000 0.750
Ba 0.094 0.356 0.628
F 0.009 0.350 0.283
F 0.153 0.976 0.830
F 0.177 0.024 0.670
F 0.823 0.976 0.330
F 0.132 0.706 0.554
F 0.847 0.024 0.170
F 0.341 0.350 0.783
F 0.878 0.158 0.014
Sb 0.158 0.226 0.377
F 0.630 0.489 0.601
Ba 0.738 0.644 0.872
F 0.991 0.650 0.717
Ba 0.262 0.356 0.128
F 0.337 0.936 0.395
F 0.574 0.706 0.054
Ba 0.906 0.644 0.372
F 0.562 0.783 0.739
F 0.426 0.294 0.946
Cu 0.500 0.000 0.500
F 0.221 0.783 0.239
F 0.438 0.217 0.261
F 0.859 0.489 0.101
F 0.868 0.294 0.446
Cu 0.500 0.000 0.000
Sb 0.932 0.774 0.123
F 0.141 0.511 0.899
F 0.122 0.842 0.986
F 0.600 0.936 0.895
F 0.663 0.064 0.605

=====

Entry 4:
Compound: La2IrRuI
Source: the Alexandria database
Functional: GGA-PBEsol
Structure: relaxed

Lattice parameters (Å, degrees): 4.626 5.525 5.525 90.00 90.00 90.00
Atoms (fractional coordinates):
Ir 0.500 0.000 0.000
I 0.500 0.500 0.500
La 0.000 0.500 0.000
Ru 0.000 0.000 0.000
La 0.000 0.000 0.500

=====

Entry 5:
Compound: Sr2V3O9
Source: the Alexandria database
Functional: GGA-PBEsol
Structure: relaxed

Lattice parameters (Å, degrees): 6.929 7.269 16.150 90.00 90.00 116.19
Atoms (fractional coordinates):
O 0.141 0.113 0.096
V 0.751 0.002 0.421
O 0.450 0.167 0.224
O 0.362 0.381 0.402
O 0.151 0.641 0.861
V 0.249 0.498 0.921
O 0.446 0.163 0.519
Sr 0.251 0.496 0.124
O 0.638 0.619 0.598
O 0.054 0.336 0.983
O 0.948 0.666 0.725
O 0.052 0.334 0.275
Sr 0.250 0.498 0.549
O 0.550 0.333 0.724
Sr 0.749 0.004 0.624
O 0.362 0.881 0.098
V 0.748 0.001 0.841
O 0.345 0.354 0.861
V 0.252 0.499 0.341
O 0.151 0.141 0.639
O 0.758 0.502 0.286
V 0.752 0.781 0.246
O 0.946 0.164 0.483
O 0.655 0.646 0.139
Sr 0.750 0.502 0.451
O 0.554 0.337 0.019
O 0.638 0.119 0.902
O 0.450 0.667 0.276
V 0.748 0.501 0.659
Sr 0.250 0.998 0.951
O 0.446 0.663 0.981
V 0.248 0.719 0.746
O 0.948 0.166 0.775
Sr 0.749 0.504 0.876
O 0.141 0.613 0.404
O 0.859 0.387 0.596
O 0.849 0.359 0.139
O 0.550 0.833 0.776
O 0.946 0.664 0.017
O 0.859 0.887 0.904
V 0.249 0.998 0.579
O 0.242 0.498 0.714
Sr 0.750 0.002 0.049
O 0.655 0.146 0.361
O 0.242 0.998 0.786
O 0.054 0.836 0.517
V 0.248 0.219 0.754
V 0.252 0.999 0.159
O 0.849 0.859 0.361
O 0.758 0.002 0.214
V 0.752 0.281 0.254
O 0.345 0.854 0.639
O 0.554 0.837 0.481
O 0.052 0.834 0.225
V 0.751 0.502 0.079
Sr 0.251 0.996 0.376

=====

Entry 6:
Compound: CdSiO3
Source: the Alexandria database
Functional: GGA-PBEsol
Structure: relaxed

Lattice parameters (Å, degrees): 6.995 7.293 15.087 90.00 95.00 90.00
Atoms (fractional coordinates):
Si 0.762 0.162 0.590
O 0.959 0.376 0.154
Si 0.239 0.410 0.410
O 0.774 0.121 0.486
O 0.768 0.871 0.984
O 0.041 0.624 0.846
O 0.584 0.802 0.134
Cd 0.746 0.379 0.398
Cd 0.989 0.376 0.751
O 0.768 0.629 0.484
O 0.416 0.556 0.866
Si 0.546 0.623 0.199
O 0.226 0.879 0.514
Si 0.238 0.662 0.910
O 0.226 0.621 0.014
O 0.041 0.876 0.346
O 0.416 0.944 0.366
Cd 0.750 0.872 0.400
O 0.304 0.124 0.212
O 0.584 0.444 0.134
O 0.299 0.876 0.900
Cd 0.011 0.876 0.749
O 0.041 0.130 0.848
Cd 0.250 0.372 0.100
O 0.774 0.379 0.986
O 0.701 0.376 0.600
Cd 0.750 0.628 0.900
O 0.232 0.129 0.016
O 0.584 0.056 0.634
Si 0.761 0.910 0.090
Cd 0.254 0.621 0.602
O 0.416 0.198 0.866
Si 0.239 0.090 0.910
Cd 0.250 0.128 0.600
Cd 0.011 0.624 0.249
O 0.696 0.624 0.288
O 0.304 0.376 0.712
Si 0.762 0.338 0.090
O 0.959 0.630 0.652
Si 0.454 0.377 0.801
O 0.684 0.124 0.295
O 0.684 0.376 0.795
O 0.959 0.124 0.654
O 0.416 0.302 0.366
O 0.701 0.124 0.100
O 0.959 0.870 0.152
Si 0.238 0.838 0.410
O 0.316 0.876 0.705
O 0.232 0.371 0.516
O 0.696 0.876 0.788
Si 0.454 0.123 0.301
O 0.584 0.698 0.634
O 0.299 0.624 0.400
O 0.041 0.370 0.348
O 0.316 0.624 0.205
Cd 0.746 0.121 0.898
Si 0.761 0.590 0.590
Si 0.546 0.877 0.699
Cd 0.254 0.879 0.102
Cd 0.989 0.124 0.251

=====

Entry 7:
Compound: Ca2AsPt
Source: the Alexandria database
Functional: GGA-PBEsol
Structure: relaxed

Lattice parameters (Å, degrees): 3.291 5.077 5.080 90.00 90.00 90.00
Atoms (fractional coordinates):
Pt 0.500 0.000 0.616
As 0.500 0.500 0.133
Ca 0.000 0.500 0.631
Ca 0.000 0.000 0.120

Summary:
Calculated formation energy ... -0.86 eV/atom

=====

Entry 8:
Compound: LaScBi3
Source: the Alexandria database
Functional: GGA-PBEsol
Structure: relaxed

Lattice parameters (Å, degrees): 5.927 5.927 5.927 90.00 90.00 90.00
Atoms (fractional coordinates):
Bi 0.000 0.000 0.500
Bi 0.000 0.500 0.000
Sc 0.500 0.500 0.500
Bi 0.500 0.000 0.000
La 0.000 0.000 0.000

Summary:
Calculated formation energy ... 0.61 eV/atom

=====

Entry 9:
Compound: RbMgW3
Source: the Alexandria database
Functional: GGA-PBEsol
Structure: relaxed

Lattice parameters (Å, degrees): 4.695 4.695 4.695 90.00 90.00 90.00
Atoms (fractional coordinates):
W 0.000 0.500 0.000
W 0.500 0.000 0.000
W 0.000 0.000 0.500
Mg 0.500 0.500 0.500
Rb 0.000 0.000 0.000

Summary:
Calculated formation energy ... 3.68 eV/atom

=====

Entry 10:
Compound: Nb2O5
Source: the Alexandria database
Functional: GGA-PBEsol
Structure: relaxed

Lattice parameters (Å, degrees): 4.919 5.599 6.899 103.53 110.88 90.00
Atoms (fractional coordinates):
Nb 0.619 0.746 0.719
Nb 0.900 0.754 0.281
O 0.723 0.373 0.588
Nb 0.381 0.254 0.281
O 0.103 0.250 0.000
O 0.135 0.127 0.412
O 0.441 0.025 0.780
O 0.661 0.475 0.220
O 0.897 0.750 0.000
O 0.339 0.525 0.780
Nb 0.100 0.246 0.719
O 0.865 0.873 0.588
O 0.559 0.975 0.220
O 0.277 0.627 0.412

Summary:
E above lowest polymorph ... 0.0 meV/atom

=====

Entry 11:
Compound: Li2ReNi
Source: the Alexandria database
Functional: GGA-PBEsol
Structure: relaxed

Lattice parameters (Å, degrees): 3.406 3.406 4.352 90.00 90.00 90.00
Atoms (fractional coordinates):
Li 0.500 0.000 0.000
Ni 0.500 0.500 0.500
Li 0.000 0.500 0.000
Re 0.000 0.000 0.500

Summary:
Calculated formation energy ... 0.49 eV/atom
E above lowest polymorph ... 129.2 meV/atom

=====

Entry 12:
Compound: Hf2MgScS
Source: the Alexandria database
Functional: GGA-PBEsol
Structure: relaxed

Lattice parameters (Å, degrees): 4.717 5.045 5.045 90.00 90.00 90.00
Atoms (fractional coordinates):
Hf 0.000 0.000 0.500
Hf 0.000 0.500 0.000
Sc 0.000 0.000 0.000
S 0.500 0.000 0.000
Mg 0.500 0.500 0.500

=====

Entry 13:
Compound: HgAs3Ru
Source: the Alexandria database
Functional: GGA-PBEsol
Structure: relaxed

Lattice parameters (Å, degrees): 4.757 4.757 4.757 90.00 90.00 90.00
Atoms (fractional coordinates):
As 0.000 0.500 0.000
Hg 0.500 0.500 0.500
As 0.000 0.000 0.500
Ru 0.000 0.000 0.000
As 0.500 0.000 0.000

Summary:
Calculated formation energy ... 0.47 eV/atom

=====

Entry 14:
Compound: Sc2TlI
Source: the Alexandria database
Functional: GGA-PBEsol
Structure: relaxed

Lattice parameters (Å, degrees): 5.098 5.098 5.098 60.00 60.00 60.00
Atoms (fractional coordinates):
I 0.000 0.000 0.000
Sc 0.250 0.250 0.250
Tl 0.500 0.500 0.500
Sc 0.750 0.750 0.750

=====

Entry 15:
Compound: KLiTe4
Source: the Alexandria database
Functional: GGA-PBEsol
Structure: relaxed

Lattice parameters (Å, degrees): 6.512 6.512 6.512 60.00 60.00 60.00
Atoms (fractional coordinates):
Te 0.876 0.375 0.375
Te 0.375 0.876 0.375
K 0.750 0.750 0.750
Li 0.000 0.000 0.000
Te 0.375 0.375 0.375
Te 0.375 0.375 0.876

=====

Entry 16:
Compound: BeCdW
Source: the Alexandria database
Functional: GGA-PBEsol
Structure: relaxed

Lattice parameters (Å, degrees): 2.710 2.710 6.252 102.57 102.52 90.00
Atoms (fractional coordinates):
Cd 0.344 0.344 0.688
W 0.649 0.649 0.298
Be 0.007 0.007 0.014

Summary:
Calculated formation energy ... 0.45 eV/atom

=====

Entry 17:
Compound: SrY2Mg
Source: the Alexandria database
Functional: GGA-PBEsol
Structure: relaxed

Lattice parameters (Å, degrees): 3.708 3.708 9.501 90.00 90.00 90.00
Atoms (fractional coordinates):
Sr 0.500 0.500 0.728
Y 0.500 0.500 0.268
Y 0.000 0.000 0.033
Mg 0.000 0.000 0.472

Summary:
Calculated formation energy ... 0.03 eV/atom

=====

Entry 18:
Compound: KSc2Te
Source: the Alexandria database
Functional: GGA-PBEsol
Structure: relaxed

Lattice parameters (Å, degrees): 3.874 4.956 6.425 112.69 107.55 90.00
Atoms (fractional coordinates):
K 0.225 0.725 0.449
Sc 0.786 0.286 0.572
Te 0.478 0.478 0.956
Sc 0.011 0.011 0.022

=====

Entry 19:
Compound: RbHNO2
Source: the Alexandria database
Functional: GGA-PBEsol
Structure: relaxed

Lattice parameters (Å, degrees): 2.774 4.851 4.851 90.00 90.00 90.00
Atoms (fractional coordinates):
N 0.500 0.000 0.000
O 0.000 0.000 0.500
Rb 0.500 0.500 0.500
H 0.000 0.000 0.000
O 0.000 0.500 0.000

=====

Number 1: total magnetic moment 0.000 μB per formula unit, calculated total energy -54.755 eV/cell. Number 2: total magnetic moment 0.000 μB per formula unit, calculated total energy -117.413 eV/cell. Number 3: total magnetic moment 1.067 μB per formula unit, calculated total energy -199.362 eV/cell. Number 4: total magnetic moment 0.000 μB per formula unit, calculated total energy -33.270 eV/cell. Number 5: total magnetic moment 1.001 μB per formula unit, calculated total energy -470.363 eV/cell. Number 6: total magnetic moment 0.000 μB per formula unit, calculated total energy -400.142 eV/cell. Number 7: total magnetic moment 0.000 μB per formula unit, calculated total energy -19.758 eV/cell. Number 8: total magnetic moment 0.058 μB per formula unit, calculated total energy -21.756 eV/cell. Number 9: total magnetic moment 0.000 μB per formula unit, calculated total energy -25.763 eV/cell. Number 10: total magnetic moment 0.000 μB per formula unit, calculated total energy -130.971 eV/cell. Number 11: total magnetic moment 0.305 μB per formula unit, calculated total energy -21.446 eV/cell. Number 12: total magnetic moment 0.000 μB per formula unit, calculated total energy -29.864 eV/cell. Number 13: total magnetic moment 0.000 μB per formula unit, calculated total energy -23.701 eV/cell. Number 14: total magnetic moment 0.000 μB per formula unit, calculated total energy -18.739 eV/cell. Number 15: total magnetic moment 0.000 μB per formula unit, calculated total energy -18.553 eV/cell. Number 16: total magnetic moment 0.000 μB per formula unit, calculated total energy -17.641 eV/cell. Number 17: total magnetic moment 0.000 μB per formula unit, calculated total energy -17.076 eV/cell. Number 18: total magnetic moment 0.005 μB per formula unit, calculated total energy -18.067 eV/cell. Number 19: total magnetic moment 5.020 μB per formula unit, calculated total energy -17.753 eV/cell.